(1)
SrAs4Br: relaxed, PBE.

a b c (Å): 6.002 6.002 6.002
angles (deg): 60.00 60.00 60.00
Element x y z (fractional)
Sr 0.000 0.000 0.000
As 0.393 0.821 0.393
As 0.821 0.393 0.393
As 0.393 0.393 0.821
As 0.393 0.393 0.393
Br 0.750 0.750 0.750

Results
D(E_F): 4.98 states/eV/f.u.
total magnetic moment: 0.0 μB/f.u.
uncorrected formation energy: -368 meV per atom
uncorrected energy: -24.2 eV for the cell shown



(2)
KCu2Tc: relaxed, PBE.

a b c (Å): 4.964 4.964 9.310
angles (deg): 74.54 74.54 90.00
Site moments in Bohr magnetons follow the coordinates.
Element x y z (fractional)
K 0.500 0.500 0.000  0.01
K 0.250 0.750 0.500  0.01
Tc 0.000 0.000 0.000  2.62
Tc 0.750 0.250 0.500  2.62
Cu 0.875 0.125 0.250  0.20
Cu 0.875 0.625 0.250  0.20
Cu 0.375 0.125 0.750  0.16
Cu 0.875 0.125 0.750  0.18

Results
D(E_F): 2.66 states/eV/f.u.
total magnetic moment: 3.3 μB/f.u.
energy of formation: 1.10 eV per atom
energy relative to the lowest polymorph listed for this composition: 2.14 eV per formula unit
uncorrected energy: -30.5 eV for the cell shown



What did the second record say?
KCu2Tc: relaxed, PBE.

a b c (Å): 4.964 4.964 9.310
angles (deg): 74.54 74.54 90.00
Site moments in Bohr magnetons follow the coordinates.
Element x y z (fractional)
K 0.500 0.500 0.000  0.01
K 0.250 0.750 0.500  0.01
Tc 0.000 0.000 0.000  2.62
Tc 0.750 0.250 0.500  2.62
Cu 0.875 0.125 0.250  0.20
Cu 0.875 0.625 0.250  0.20
Cu 0.375 0.125 0.750  0.16
Cu 0.875 0.125 0.750  0.18

Results
D(E_F): 2.66 states/eV/f.u.
total magnetic moment: 3.3 μB/f.u.
energy of formation: 1.10 eV per atom
energy relative to the lowest polymorph listed for this composition: 2.14 eV per formula unit
uncorrected energy: -30.5 eV for the cell shown